A plane-wave DFT calculation with PBE-GGA was carried out for an optimized crystal structure of FeNiSnIr.

Unit cell a=4.3710 b=4.3710 c=4.3710 alpha=60.00 beta=60.00 gamma=60.00
With the nearest neighbours (Å) after each atom.
Fractional positions:
1 Ni 0.5000 0.5000 0.5000  4 Fe 2.68, 4 Sn 2.68
2 Sn 0.2500 0.2500 0.2500  4 Ni 2.68, 4 Ir 2.68
3 Ir 0.0000 0.0000 0.0000  4 Fe 2.68, 4 Sn 2.68
4 Fe 0.7500 0.7500 0.7500  4 Ir 2.68, 4 Ni 2.68

Values from the calculation:
For the total energy, the calculation gives -27.17 eV for the cell shown. The value obtained for the calculated formation energy is -15 meV per atom. Its total moment is 0.829 μB per atom. For the mass density, the calculation gives 11.96 g/cm³. The density of states at the Fermi level comes out at 5.1 states/eV per cell. The space group is No. 216.